[1]
DFT (PBE) results for crystalline K2CaRu at its relaxed geometry.

Results
As for the energy: -2.732 eV/atom. As for the density of states at the Fermi level: 2.810 states/eV per cell. Its spin magnetization is 0.18 μB/atom. Its offset from the most stable computed form is 59 meV/atom.

Cell: 5.265 5.265 10.079 Å, 76.03 76.03 37.40°
Last column: magnetic moment on the atom in μB.
Element x y z (fractional)
Ca1 0.186 0.186 0.375  -0.03
K1 0.007 0.007 0.077  0.00
K2 0.853 0.853 0.673  0.00
Ru1 0.454 0.454 0.375  0.83

***

[2]
DFT (PBE) results for crystalline KCaRu2 at its relaxed geometry.

Results
As for the energy: -4.496 eV/atom. As for the density of states at the Fermi level: 2.641 states/eV per cell. Its spin magnetization is 0.54 μB/atom. Its offset from the most stable computed form is 543 meV/atom.

Cell: 2.857 2.857 10.147 Å, 90.00 90.00 90.22°
Last column: magnetic moment on the atom in μB.
Element x y z (fractional)
Ca1 0.500 0.500 0.250  -0.03
K1 0.500 0.500 0.750  -0.01
Ru1 0.000 0.000 0.023  1.09
Ru2 0.000 0.000 0.477  1.09

***

[3]
DFT (PBE) results for crystalline K2CaRu at its relaxed geometry.

Results
As for the energy: -2.267 eV/atom. As for the density of states at the Fermi level: 11.342 states/eV per cell. Its spin magnetization is 0.41 μB/atom. Its offset from the most stable computed form is 523 meV/atom.

Cell: 5.789 5.789 5.789 Å, 60.00 60.00 60.00°
Last column: magnetic moment on the atom in μB.
Element x y z (fractional)
Ru1 0.500 0.500 0.500  1.71
Ca1 0.000 0.000 0.000  -0.06
K1 0.250 0.250 0.250  -0.01
K2 0.750 0.750 0.750  -0.01

***

[4]
DFT (PBE) results for crystalline KCa3Ru at its relaxed geometry.

Results
As for the energy: -3.113 eV/atom. As for the density of states at the Fermi level: 2.731 states/eV per cell. Its spin magnetization is 0.00 μB/atom. Its offset from the most stable computed form is 0 meV/atom.

Cell: 5.678 5.678 5.678 Å, 90.00 90.00 90.00°
Element x y z (fractional)
Ru1 0.000 0.000 0.000
Ca1 0.000 0.500 0.000
Ca2 0.000 0.000 0.500
Ca3 0.500 0.000 0.000
K1 0.500 0.500 0.500